1.
SrNb2Ge2 | PBE | relaxed

The structure in POSCAR format:
```
SrNb2Ge2
1.0
7.7128 0.0000 0.0000
0.0000 7.7128 0.0000
0.0000 0.0000 3.3826
Sr Nb Ge
2 4 4
Direct
0.0000 0.0000 0.0000
0.5000 0.5000 0.0000
0.1480 0.3520 0.5000
0.3520 0.8520 0.5000
0.6480 0.1480 0.5000
0.8520 0.6480 0.5000
0.1354 0.6354 0.0000
0.3646 0.1354 0.0000
0.6354 0.8646 0.0000
0.8646 0.3646 0.0000
```

Output
N(E_F) (states/eV per cell): 7.789
Energy (hartree per atom): -0.23067
Polymorph energy (0 for the lowest one) (meV/atom): 329.0


2.
Pm2In2BRh4 | PBE | relaxed

The structure in POSCAR format:
```
Pm2In2BRh4
1.0
-3.1269 3.1269 4.3118
3.1269 -3.1269 4.3118
3.1269 3.1269 -4.3118
Pm In B Rh
2 2 1 4
Direct
0.2028 0.2028 0.0000
0.7972 0.7972 0.0000
0.2500 0.7500 0.5000
0.7500 0.2500 0.5000
0.5000 0.5000 0.0000
0.2649 0.2649 0.5299
0.2649 0.7351 0.0000
0.7351 0.2649 0.0000
0.7351 0.7351 0.4701
```

Output
N(E_F) (states/eV per cell): 3.251
Energy (hartree per atom): -0.22294